Record 1
Compound: LiSbWO6
Source: the Alexandria database
Functional: PBEsol
Structure: relaxed

a b c (Å): 7.3007 7.3007 10.2006
angles (deg): 90.00 90.00 90.00
Element x y z (fractional)
1 Sb 0.7410 0.5000 0.7500
2 Sb 0.2590 0.5000 0.2500
3 Sb 0.5000 0.2590 0.5000
4 Sb 0.5000 0.7410 0.0000
5 O 0.2422 0.7382 0.9356
6 O 0.9259 0.9259 0.8750
7 O 0.5594 0.0506 0.6195
8 O 0.5440 0.5440 0.8750
9 O 0.9494 0.4406 0.6305
10 O 0.4406 0.0506 0.3805
11 O 0.7382 0.2422 0.8144
12 O 0.0741 0.9259 0.1250
13 O 0.7578 0.7382 0.0644
14 O 0.9259 0.0741 0.6250
15 O 0.7382 0.7578 0.6856
16 O 0.4560 0.5440 0.1250
17 O 0.2618 0.7578 0.3144
18 O 0.4560 0.4560 0.3750
19 O 0.5594 0.9494 0.8805
20 O 0.0741 0.0741 0.3750
21 O 0.9494 0.5594 0.8695
22 O 0.5440 0.4560 0.6250
23 O 0.7578 0.2618 0.4356
24 O 0.0506 0.5594 0.1305
25 O 0.0506 0.4406 0.3695
26 O 0.2422 0.2618 0.5644
27 O 0.2618 0.2422 0.1856
28 O 0.4406 0.9494 0.1195
29 Li 0.8425 0.5000 0.2500
30 Li 0.1575 0.5000 0.7500
31 Li 0.5000 0.8425 0.5000
32 Li 0.5000 0.1575 0.0000
33 W 0.2541 0.0000 0.2500
34 W 0.7459 0.0000 0.7500
35 W 0.0000 0.2541 0.5000
36 W 0.0000 0.7459 0.0000

Properties
- Total energy: -273.13 eV/cell
- ρ: 4.991 g/cm³
- E above lowest polymorph: 67 meV per atom
- Uncorrected formation energy: -1.828 eV/atom
- Spin magnetization: 0.0 μB/cell



Record 2
Compound: LiSbWO6
Source: the Alexandria database
Functional: PBEsol
Structure: relaxed

a b c (Å): 7.1365 7.2383 7.2383
angles (deg): 60.80 60.46 60.46
Element x y z (fractional)
1 O 0.3150 0.3221 0.4336
2 O 0.0707 0.0664 0.1779
3 O 0.9293 0.3221 0.4336
4 O 0.0531 0.6969 0.1969
5 O 0.6850 0.6779 0.5664
6 O 0.3150 0.9336 0.8221
7 O 0.6644 0.0856 0.5856
8 O 0.9293 0.9336 0.8221
9 O 0.0707 0.6779 0.5664
10 O 0.3356 0.9144 0.4144
11 O 0.6850 0.0664 0.1779
12 O 0.9469 0.3031 0.8031
13 Li 0.5000 0.0000 0.0000
14 Li 0.5000 0.5000 0.5000
15 W 0.0000 0.5000 0.5000
16 W 0.0000 0.0000 0.0000
17 Sb 0.0000 0.0000 0.5000
18 Sb 0.5000 0.0000 0.5000

Properties
- Total energy: -136.30 eV/cell
- ρ: 5.066 g/cm³
- E above lowest polymorph: 82 meV per atom
- Uncorrected formation energy: -1.813 eV/atom
- Spin magnetization: 0.0 μB/cell



Record 3
Compound: Li3Zn2SbO6
Source: the Alexandria database
Functional: PBEsol
Structure: relaxed

a b c (Å): 5.1796 5.2258 5.2258
angles (deg): 119.70 100.00 100.00
Element x y z (fractional)
1 Li 0.5000 0.8286 0.1714
2 Li 0.5000 0.5000 0.5000
3 Li 0.5000 0.1714 0.8286
4 O 0.2303 0.7624 0.7624
5 O 0.2378 0.0777 0.3940
6 O 0.7622 0.6060 0.9223
7 O 0.7697 0.2376 0.2376
8 O 0.2378 0.3940 0.0777
9 O 0.7622 0.9223 0.6060
10 Zn 0.0000 0.3335 0.6665
11 Zn 0.0000 0.6665 0.3335
12 Sb 0.0000 0.0000 0.0000

Properties
- Total energy: -65.95 eV/cell
- ρ: 5.320 g/cm³
- Uncorrected formation energy: -1.736 eV/atom
- Spin magnetization: 0.0 μB/cell



Record 4
Compound: LiScSi2O6
Source: the Alexandria database
Functional: PBEsol
Structure: relaxed

a b c (Å): 5.3657 6.6429 6.6429
angles (deg): 85.01 75.17 75.17
Element x y z (fractional)
1 Li 0.2500 0.2458 0.7542
2 Li 0.7500 0.7542 0.2458
3 O 0.3424 0.2043 0.0356
4 O 0.9461 0.3464 0.3647
5 O 0.3490 0.8787 0.3782
6 O 0.4461 0.3647 0.3464
7 O 0.5539 0.6353 0.6536
8 O 0.8490 0.3782 0.8787
9 O 0.0539 0.6536 0.6353
10 O 0.1576 0.9644 0.7957
11 O 0.1510 0.6218 0.1213
12 O 0.8424 0.0356 0.2043
13 O 0.6510 0.1213 0.6218
14 O 0.6576 0.7957 0.9644
15 Si 0.2774 0.7880 0.6135
16 Si 0.7774 0.6135 0.7880
17 Si 0.7226 0.2120 0.3865
18 Si 0.2226 0.3865 0.2120
19 Sc 0.2500 0.8943 0.1057
20 Sc 0.7500 0.1057 0.8943

Properties
- Total energy: -162.20 eV/cell
- ρ: 3.064 g/cm³
- Uncorrected formation energy: -2.954 eV/atom
- Spin magnetization: 0.0 μB/cell